DFT (PBE-GGA) results for Pr8PIr3Br4 after structural relaxation.

Cell: 8.466 9.147 8.465 Å, 117.55 120.00 90.00°
Atoms (fractional coordinates):
1 P 0.000 0.500 0.000
2 Pr 0.763 0.303 0.040
3 Pr 0.237 0.697 0.960
4 Pr 0.723 0.697 0.960
5 Pr 0.277 0.303 0.040
6 Pr 0.763 0.303 0.527
7 Pr 0.237 0.697 0.473
8 Pr 0.268 0.303 0.536
9 Pr 0.732 0.697 0.464
10 Ir 0.500 0.500 0.500
11 Ir 0.500 0.500 0.000
12 Ir 0.000 0.500 0.500
13 Br 0.000 0.000 0.500
14 Br 0.000 0.000 0.000
15 Br 0.500 0.000 0.500
16 Br 0.500 0.000 0.000

Summary:
Magnetic moment   0.000 μB per atom
E_form (uncorrected)   -1.145 eV per atom
Space-group type   R-3m (166)
N(E_F)   10.03 states/eV/cell

***

DFT (PBE-GGA) results for Pr6P2IrBr3 after structural relaxation.

Cell: 4.126 9.072 9.845 Å, 105.87 102.10 90.00°
Atoms (fractional coordinates):
1 P 0.167 0.337 0.334
2 P 0.833 0.663 0.666
3 Pr 0.009 0.218 0.018
4 Pr 0.991 0.782 0.982
5 Pr 0.322 0.441 0.645
6 Pr 0.678 0.559 0.355
7 Pr 0.342 0.887 0.685
8 Pr 0.658 0.113 0.315
9 Ir 0.500 0.000 0.000
10 Br 0.500 0.500 0.000
11 Br 0.169 0.830 0.338
12 Br 0.831 0.170 0.662

Summary:
Magnetic moment   0.000 μB per atom
E_form (uncorrected)   -1.329 eV per atom
Space-group type   C2/m (12)
N(E_F)   6.94 states/eV/cell

***

DFT (PBE-GGA) results for Pr8P3IrBr4 after structural relaxation.

Cell: 8.466 8.833 8.466 Å, 118.64 120.00 90.00°
Atoms (fractional coordinates):
1 P 0.000 0.500 0.500
2 P 0.500 0.500 0.500
3 P 0.500 0.500 0.000
4 Ir 0.000 0.500 0.000
5 Pr 0.768 0.296 0.028
6 Pr 0.265 0.294 0.530
7 Pr 0.735 0.706 0.470
8 Pr 0.739 0.704 0.972
9 Pr 0.261 0.296 0.028
10 Pr 0.232 0.704 0.972
11 Pr 0.768 0.296 0.535
12 Pr 0.232 0.704 0.465
13 Br 0.000 0.000 0.500
14 Br 0.500 0.000 0.500
15 Br 0.500 0.000 0.000
16 Br 0.000 0.000 0.000

Summary:
Magnetic moment   0.000 μB per atom
E_form (uncorrected)   -1.365 eV per atom
Space-group type   R-3m (166)
N(E_F)   8.55 states/eV/cell

***

DFT (PBE-GGA) results for Pr6PIr2Br3 after structural relaxation.

Cell: 7.325 7.325 8.095 Å, 98.60 98.60 119.97°
Atoms (fractional coordinates):
1 Br 0.500 0.500 0.500
2 Br 0.837 0.163 0.500
3 Br 0.163 0.837 0.500
4 Pr 0.934 0.592 0.802
5 Pr 0.277 0.277 0.802
6 Pr 0.592 0.934 0.802
7 Pr 0.723 0.723 0.198
8 Pr 0.066 0.408 0.198
9 Pr 0.408 0.066 0.198
10 P 0.000 0.000 0.000
11 Ir 0.333 0.667 0.000
12 Ir 0.667 0.333 0.000

Summary:
Magnetic moment   0.000 μB per atom
E_form (uncorrected)   -1.192 eV per atom
Space-group type   C2/m (12)
N(E_F)   1.97 states/eV/cell

***

DFT (PBE-GGA) results for P2IrSBr after structural relaxation.

Cell: 4.733 4.733 4.534 Å, 90.00 90.00 90.00°
Atoms (fractional coordinates):
1 P 0.500 0.000 0.000
2 P 0.000 0.500 0.000
3 Br 0.000 0.000 0.000
4 Ir 0.500 0.500 0.500
5 S 0.000 0.000 0.500

Summary:
Magnetic moment   0.074 μB per atom
E_form (uncorrected)   1.998 eV per atom
Space-group type   P4/mmm (123)
N(E_F)   4.36 states/eV/cell

***

DFT (PBE-GGA) results for P2IrSBr after structural relaxation.

Cell: 4.559 4.559 5.018 Å, 90.00 90.00 90.00°
Atoms (fractional coordinates):
1 P 0.500 0.000 0.000
2 P 0.000 0.500 0.000
3 Ir 0.000 0.000 0.000
4 S 0.000 0.000 0.500
5 Br 0.500 0.500 0.500

Summary:
Magnetic moment   0.000 μB per atom
E_form (uncorrected)   0.666 eV per atom
Space-group type   P4/mmm (123)
N(E_F)   5.61 states/eV/cell

***

DFT (PBE-GGA) results for PIrSeBr2 after structural relaxation.

Cell: 4.886 4.886 5.044 Å, 90.00 90.00 90.00°
Atoms (fractional coordinates):
1 P 0.000 0.000 0.000
2 Br 0.500 0.000 0.000
3 Br 0.000 0.500 0.000
4 Se 0.000 0.000 0.500
5 Ir 0.500 0.500 0.500

Summary:
Magnetic moment   0.530 μB per atom
E_form (uncorrected)   1.228 eV per atom
Space-group type   P4/mmm (123)
N(E_F)   6.84 states/eV/cell

***

DFT (PBE-GGA) results for PIrSeBr2 after structural relaxation.

Cell: 5.048 5.048 4.818 Å, 90.00 90.00 90.00°
Atoms (fractional coordinates):
1 Br 0.000 0.500 0.000
2 Br 0.500 0.000 0.000
3 Se 0.000 0.000 0.500
4 P 0.500 0.500 0.500
5 Ir 0.000 0.000 0.000

Summary:
Magnetic moment   0.000 μB per atom
E_form (uncorrected)   0.825 eV per atom
Space-group type   P4/mmm (123)
N(E_F)   3.90 states/eV/cell

***

DFT (PBE-GGA) results for Sm4PIrBr2 after structural relaxation.

Cell: 4.054 7.459 7.725 Å, 107.14 90.00 90.00°
Atoms (fractional coordinates):
1 Ir 0.500 0.500 0.000
2 Sm 0.000 0.720 0.196
3 Sm 0.000 0.280 0.804
4 Sm 0.500 0.237 0.200
5 Sm 0.500 0.763 0.800
6 Br 0.000 0.500 0.500
7 Br 0.500 0.000 0.500
8 P 0.000 0.000 0.000

Summary:
Magnetic moment   0.000 μB per atom
E_form (uncorrected)   -1.240 eV per atom
Space-group type   P2/m (10)
N(E_F)   5.28 states/eV/cell

***

DFT (PBE-GGA) results for Sm6PIr2Br3 after structural relaxation.

Cell: 7.201 7.201 7.941 Å, 98.59 98.59 119.99°
Atoms (fractional coordinates):
1 Sm 0.593 0.935 0.804
2 Sm 0.407 0.065 0.196
3 Sm 0.278 0.278 0.805
4 Sm 0.935 0.593 0.804
5 Sm 0.722 0.722 0.195
6 Sm 0.065 0.407 0.196
7 P 0.000 0.000 0.000
8 Br 0.838 0.162 0.500
9 Br 0.500 0.500 0.500
10 Br 0.162 0.838 0.500
11 Ir 0.667 0.333 0.000
12 Ir 0.333 0.667 0.000

Summary:
Magnetic moment   0.000 μB per atom
E_form (uncorrected)   -1.201 eV per atom
Space-group type   C2/m (12)
N(E_F)   1.92 states/eV/cell

***

DFT (PBE-GGA) results for SrP2IrBr after structural relaxation.

Cell: 5.033 4.744 5.033 Å, 90.00 90.00 90.00°
Atoms (fractional coordinates):
1 P 0.500 0.000 0.000
2 P 0.000 0.000 0.500
3 Sr 0.500 0.500 0.500
4 Ir 0.000 0.500 0.000
5 Br 0.000 0.000 0.000

Summary:
Magnetic moment   0.001 μB per atom
E_form (uncorrected)   0.874 eV per atom
Space-group type   P4/mmm (123)
N(E_F)   8.37 states/eV/cell

***

DFT (PBE-GGA) results for TiPIrBr2 after structural relaxation.

Cell: 5.224 4.440 5.224 Å, 90.00 90.00 90.00°
Atoms (fractional coordinates):
1 P 0.000 0.000 0.000
2 Ir 0.000 0.500 0.000
3 Br 0.500 0.000 0.000
4 Br 0.000 0.000 0.500
5 Ti 0.500 0.500 0.500

Summary:
Magnetic moment   0.391 μB per atom
E_form (uncorrected)   0.716 eV per atom
Space-group type   P4/mmm (123)
N(E_F)   3.91 states/eV/cell

***

Copy entry 2 word for word.
DFT (PBE-GGA) results for Pr6P2IrBr3 after structural relaxation.

Cell: 4.126 9.072 9.845 Å, 105.87 102.10 90.00°
Atoms (fractional coordinates):
1 P 0.167 0.337 0.334
2 P 0.833 0.663 0.666
3 Pr 0.009 0.218 0.018
4 Pr 0.991 0.782 0.982
5 Pr 0.322 0.441 0.645
6 Pr 0.678 0.559 0.355
7 Pr 0.342 0.887 0.685
8 Pr 0.658 0.113 0.315
9 Ir 0.500 0.000 0.000
10 Br 0.500 0.500 0.000
11 Br 0.169 0.830 0.338
12 Br 0.831 0.170 0.662

Summary:
Magnetic moment   0.000 μB per atom
E_form (uncorrected)   -1.329 eV per atom
Space-group type   C2/m (12)
N(E_F)   6.94 states/eV/cell

***

Copy entry 2 word for word.
DFT (PBE-GGA) results for Pr6P2IrBr3 after structural relaxation.

Cell: 4.126 9.072 9.845 Å, 105.87 102.10 90.00°
Atoms (fractional coordinates):
1 P 0.167 0.337 0.334
2 P 0.833 0.663 0.666
3 Pr 0.009 0.218 0.018
4 Pr 0.991 0.782 0.982
5 Pr 0.322 0.441 0.645
6 Pr 0.678 0.559 0.355
7 Pr 0.342 0.887 0.685
8 Pr 0.658 0.113 0.315
9 Ir 0.500 0.000 0.000
10 Br 0.500 0.500 0.000
11 Br 0.169 0.830 0.338
12 Br 0.831 0.170 0.662

Summary:
Magnetic moment   0.000 μB per atom
E_form (uncorrected)   -1.329 eV per atom
Space-group type   C2/m (12)
N(E_F)   6.94 states/eV/cell

***

- E_form (uncorrected) of number 12 (TiPIrBr2)?
  0.716 eV per atom